No. 1
Compound: YMgTl2
Source: the Alexandria database
Functional: PBE-GGA
Structure: relaxed

Summary:
E_tot, eV/atom: -3.202
Formation energy, eV/f.u.: 0.0
Symmetry: F-43m, No. 216
Volume, A^3/atom: 27.42

abc: 5.3732 5.3732 5.3732
angles: 60.00 60.00 60.00
Atoms (fractional coordinates):
Mg  0.5000  0.5000  0.5000
Tl  0.0000  0.0000  0.0000
Tl  0.2500  0.2500  0.2500
Y  0.7500  0.7500  0.7500

No. 2
Compound: MgMnPb2
Source: the Alexandria database
Functional: PBE-GGA
Structure: relaxed

Summary:
E_tot, eV/atom: -4.320
Formation energy, eV/f.u.: 0.9
Symmetry: Cm, No. 8
Volume, A^3/atom: 23.97

abc: 5.8874 5.8874 5.2990
angles: 73.50 73.50 33.13
Each line ends with the local moment (μB).
Atoms (fractional coordinates):
Mg  0.5214  0.5214  0.5326  -0.01
Mn  0.2373  0.2373  0.1998  3.82
Pb  0.9808  0.9808  0.0729  -0.03
Pb  0.7605  0.7605  0.6947  -0.03

No. 3
Compound: Y5Si2Pb
Source: the Alexandria database
Functional: PBE-GGA
Structure: relaxed

Summary:
E_tot, eV/atom: -6.524
Formation energy from raw total energies, kcal/mol of atoms: -15.32
Symmetry: I4/mcm, No. 140
Volume, A^3/atom: 26.26

abc: 7.8333 7.8334 8.8079
angles: 116.40 116.40 90.00
Atoms (fractional coordinates):
Y  0.5198  0.7025  0.7223
Y  0.7975  0.9802  0.2777
Y  0.0000  0.0000  0.0000
Y  0.5000  0.5000  0.0000
Y  0.2025  0.0198  0.7223
Y  0.7025  0.2025  0.7223
Y  0.0198  0.5198  0.7223
Y  0.2975  0.7975  0.2777
Y  0.9802  0.4802  0.2777
Y  0.4802  0.2975  0.2777
Si  0.1424  0.3576  0.0000
Si  0.6424  0.1424  0.0000
Si  0.3576  0.8576  0.0000
Si  0.8576  0.6424  0.0000
Pb  0.7500  0.7500  0.5000
Pb  0.2500  0.2500  0.5000

No. 4
Compound: K3SnSe3
Source: the Alexandria database
Functional: PBE-GGA
Structure: relaxed

Summary:
Energy relative to the lowest polymorph listed for this composition, meV per atom: 0.0
E_tot, eV/atom: -3.547
Formation energy from raw total energies, kcal/mol of atoms: -23.33
Symmetry: P2_1/c, No. 14
Volume, A^3/atom: 34.90

abc: 13.0284 9.0338 9.2353
angles: 64.04 90.00 90.00
Atoms (fractional coordinates):
K  0.9315  0.7096  0.7763
K  0.4315  0.7904  0.2237
K  0.0685  0.2904  0.2237
K  0.5685  0.2096  0.7763
K  0.8351  0.9859  0.0039
K  0.3351  0.5141  0.9961
K  0.1649  0.0141  0.9961
K  0.6649  0.4859  0.0039
K  0.7871  0.1919  0.4453
K  0.2871  0.3081  0.5547
K  0.2129  0.8081  0.5547
K  0.7129  0.6919  0.4453
Sn  0.9918  0.3703  0.6596
Sn  0.4918  0.1297  0.3404
Sn  0.0082  0.6297  0.3404
Sn  0.5082  0.8703  0.6596
Se  0.8089  0.3782  0.7577
Se  0.3089  0.1218  0.2423
Se  0.1911  0.6218  0.2423
Se  0.6911  0.8782  0.7577
Se  0.0292  0.0953  0.6538
Se  0.5292  0.4047  0.3462
Se  0.9708  0.9047  0.3462
Se  0.4708  0.5953  0.6538
Se  0.1280  0.4295  0.8282
Se  0.6280  0.0705  0.1718
Se  0.8720  0.5705  0.1718
Se  0.3720  0.9295  0.8282

No. 5
Compound: ScTcSe2
Source: the Alexandria database
Functional: PBE-GGA
Structure: relaxed

Summary:
Energy relative to the lowest polymorph listed for this composition, meV per atom: 304.7
E_tot, eV/atom: -6.310
Formation energy from raw total energies, kcal/mol of atoms: -9.08
Symmetry: P2/m, No. 10
Volume, A^3/atom: 18.87

abc: 3.9605 3.4711 5.4994
angles: 87.01 90.00 90.00
Atoms (fractional coordinates):
Sc  0.5000  0.7500  0.7500
Se  0.0000  0.0793  0.0072
Se  0.0000  0.4207  0.4928
Tc  0.5000  0.2500  0.2500

No. 6
Compound: Pr8GaS6
Source: the Alexandria database
Functional: PBE-GGA
Structure: relaxed

Summary:
E_tot, eV/atom: -5.906
Formation energy from raw total energies, kcal/mol of atoms: -34.69
Symmetry: P-3, No. 147
Volume, A^3/atom: 27.17

abc: 4.1422 10.6595 10.6595
angles: 120.00 90.00 90.00
Atoms (fractional coordinates):
Pr  0.7487  0.9656  0.2984
Pr  0.7487  0.7016  0.6672
Pr  0.7487  0.3328  0.0344
Pr  0.2513  0.0344  0.7016
Pr  0.2513  0.2984  0.3328
Pr  0.2513  0.6672  0.9656
Pr  0.7503  0.3333  0.6667
Pr  0.2497  0.6667  0.3333
Ga  0.5000  0.0000  0.0000
S  0.7493  0.6517  0.1354
S  0.7493  0.8646  0.5163
S  0.7493  0.4837  0.3483
S  0.2507  0.3483  0.8646
S  0.2507  0.1354  0.4837
S  0.2507  0.5163  0.6517

No. 7
Compound: FeAu2
Source: the Alexandria database
Functional: PBE-GGA
Structure: relaxed

Summary:
E_tot, eV/atom: -4.858
Formation energy, eV/f.u.: 0.4
Symmetry: Cm, No. 8
Volume, A^3/atom: 16.49

abc: 5.3785 5.3785 6.9024
angles: 73.79 73.79 31.18
Each line ends with the local moment (μB).
Atoms (fractional coordinates):
Fe  0.9309  0.9309  0.6401  2.85
Fe  0.2884  0.2884  0.8991  2.90
Au  0.9802  0.9802  0.0094  0.03
Au  0.6364  0.6364  0.2424  0.01
Au  0.3458  0.3458  0.3676  0.03
Au  0.6516  0.6516  0.6747  0.04

No. 8
Compound: N
Source: the Alexandria database
Functional: PBE-GGA
Structure: relaxed

Summary:
Energy relative to the lowest polymorph listed for this composition, meV per atom: 0.4
E_tot, eV/atom: -8.325
Formation energy from raw total energies, kcal/mol of atoms: 0.01
Symmetry: C2/m, No. 12
Volume, A^3/atom: 24.53

abc: 6.0308 5.3530 6.0800
angles: 90.00 90.16 90.00
Atoms (fractional coordinates):
N  0.7500  0.1040  0.2839
N  0.2500  0.1040  0.7161
N  0.2500  0.8960  0.7161
N  0.7500  0.8960  0.2839
N  0.7500  0.6040  0.7839
N  0.2500  0.6040  0.2161
N  0.2500  0.3960  0.2161
N  0.7500  0.3960  0.7839

Size of the total moment (computed, μB/f.u.): 0.0, 3.9, 0.1, 0.0, 0.0, 0.0, 2.9, 0.0